Cd3Ni | meta-GGA SCAN | PBEsol geometry

Values from the calculation:
crystal system	orthorhombic
DFT formation energy	34	meV per atom
space group	No. 62

Cell and atoms, written as CIF:
```
data_Cd3Ni
_cell_length_a 7.318
_cell_length_b 8.033
_cell_length_c 4.969
_cell_angle_alpha 90.00
_cell_angle_beta 90.00
_cell_angle_gamma 90.00
_space_group_name_H-M_alt 'P 1'
_space_group_IT_number 1
loop_
_space_group_symop_operation_xyz
'x,y,z'
loop_
_atom_site_label
_atom_site_type_symbol
_atom_site_fract_x
_atom_site_fract_y
_atom_site_fract_z
_atom_site_occupancy
Cd1 Cd 0.017 0.250 0.091 1
Cd2 Cd 0.169 0.061 0.602 1
Cd3 Cd 0.169 0.439 0.602 1
Cd4 Cd 0.331 0.561 0.102 1
Cd5 Cd 0.331 0.939 0.102 1
Cd6 Cd 0.483 0.750 0.591 1
Cd7 Cd 0.517 0.250 0.409 1
Cd8 Cd 0.669 0.061 0.898 1
Cd9 Cd 0.669 0.439 0.898 1
Cd10 Cd 0.831 0.561 0.398 1
Cd11 Cd 0.831 0.939 0.398 1
Cd12 Cd 0.983 0.750 0.909 1
Ni1 Ni 0.134 0.750 0.423 1
Ni2 Ni 0.366 0.250 0.923 1
Ni3 Ni 0.634 0.750 0.077 1
Ni4 Ni 0.866 0.250 0.577 1
```

Tc2O5F4 | meta-GGA SCAN | PBEsol geometry

Values from the calculation:
ΔE_f (raw)	-1.770	eV per atom
crystal system	monoclinic
space group	No. 14

Cell and atoms, written as CIF:
```
data_Tc2O5F4
_cell_length_a 8.285
_cell_length_b 14.976
_cell_length_c 5.311
_cell_angle_alpha 90.00
_cell_angle_beta 90.41
_cell_angle_gamma 90.00
_space_group_name_H-M_alt 'P 1'
_space_group_IT_number 1
loop_
_space_group_symop_operation_xyz
'x,y,z'
loop_
_atom_site_label
_atom_site_type_symbol
_atom_site_fract_x
_atom_site_fract_y
_atom_site_fract_z
_atom_site_occupancy
Tc1 Tc 0.126 0.124 0.180 1
Tc2 Tc 0.126 0.376 0.680 1
Tc3 Tc 0.374 0.645 0.985 1
Tc4 Tc 0.374 0.855 0.485 1
Tc5 Tc 0.626 0.145 0.515 1
Tc6 Tc 0.626 0.355 0.015 1
Tc7 Tc 0.874 0.624 0.320 1
Tc8 Tc 0.874 0.876 0.820 1
O1 O 0.039 0.597 0.485 1
O2 O 0.039 0.903 0.985 1
O3 O 0.142 0.055 0.425 1
O4 O 0.142 0.445 0.925 1
O5 O 0.287 0.107 0.998 1
O6 O 0.287 0.393 0.498 1
O7 O 0.384 0.595 0.709 1
O8 O 0.384 0.905 0.209 1
O9 O 0.390 0.561 0.184 1
O10 O 0.390 0.939 0.684 1
O11 O 0.610 0.061 0.316 1
O12 O 0.610 0.439 0.816 1
O13 O 0.616 0.095 0.791 1
O14 O 0.616 0.405 0.291 1
O15 O 0.713 0.607 0.502 1
O16 O 0.713 0.893 0.002 1
O17 O 0.858 0.555 0.075 1
O18 O 0.858 0.945 0.575 1
O19 O 0.961 0.097 0.015 1
O20 O 0.961 0.403 0.515 1
F1 F 0.116 0.241 0.286 1
F2 F 0.116 0.259 0.786 1
F3 F 0.154 0.661 0.996 1
F4 F 0.154 0.839 0.496 1
F5 F 0.356 0.732 0.294 1
F6 F 0.356 0.768 0.794 1
F7 F 0.415 0.184 0.492 1
F8 F 0.415 0.316 0.992 1
F9 F 0.585 0.684 0.008 1
F10 F 0.585 0.816 0.508 1
F11 F 0.644 0.232 0.206 1
F12 F 0.644 0.268 0.706 1
F13 F 0.846 0.161 0.504 1
F14 F 0.846 0.339 0.004 1
F15 F 0.884 0.741 0.214 1
F16 F 0.884 0.759 0.714 1
```

K2YCd2 | meta-GGA SCAN | PBEsol geometry

Values from the calculation:
crystal system	tetragonal
DFT formation energy	420	meV per atom
space group	No. 139

Cell and atoms, written as CIF:
```
data_K2YCd2
_cell_length_a 5.831
_cell_length_b 5.831
_cell_length_c 10.092
_cell_angle_alpha 90.00
_cell_angle_beta 90.00
_cell_angle_gamma 90.00
_space_group_name_H-M_alt 'P 1'
_space_group_IT_number 1
loop_
_space_group_symop_operation_xyz
'x,y,z'
loop_
_atom_site_label
_atom_site_type_symbol
_atom_site_fract_x
_atom_site_fract_y
_atom_site_fract_z
_atom_site_occupancy
K1 K 0.000 0.000 0.138 1
K2 K 0.000 0.000 0.862 1
K3 K 0.500 0.500 0.362 1
K4 K 0.500 0.500 0.638 1
Y1 Y 0.000 0.000 0.500 1
Y2 Y 0.500 0.500 0.000 1
Cd1 Cd 0.000 0.500 0.250 1
Cd2 Cd 0.000 0.500 0.750 1
Cd3 Cd 0.500 0.000 0.250 1
Cd4 Cd 0.500 0.000 0.750 1
```

Mo2AsF | meta-GGA SCAN | PBEsol geometry

Values from the calculation:
ΔE_f (raw)	-0.154	eV per atom
crystal system	cubic
energy above the most stable polymorph in this dataset	0	meV per atom
space group	No. 225

Cell and atoms, written as CIF:
```
data_Mo2AsF
_cell_length_a 5.998
_cell_length_b 5.998
_cell_length_c 5.998
_cell_angle_alpha 90.00
_cell_angle_beta 90.00
_cell_angle_gamma 90.00
_space_group_name_H-M_alt 'P 1'
_space_group_IT_number 1
loop_
_space_group_symop_operation_xyz
'x,y,z'
loop_
_atom_site_label
_atom_site_type_symbol
_atom_site_fract_x
_atom_site_fract_y
_atom_site_fract_z
_atom_site_occupancy
Mo1 Mo 0.250 0.250 0.250 1
Mo2 Mo 0.250 0.250 0.750 1
Mo3 Mo 0.250 0.750 0.250 1
Mo4 Mo 0.250 0.750 0.750 1
Mo5 Mo 0.750 0.250 0.250 1
Mo6 Mo 0.750 0.250 0.750 1
Mo7 Mo 0.750 0.750 0.250 1
Mo8 Mo 0.750 0.750 0.750 1
As1 As 0.000 0.000 0.000 1
As2 As 0.000 0.500 0.500 1
As3 As 0.500 0.000 0.500 1
As4 As 0.500 0.500 0.000 1
F1 F 0.000 0.000 0.500 1
F2 F 0.000 0.500 0.000 1
F3 F 0.500 0.000 0.000 1
F4 F 0.500 0.500 0.500 1
```

Li4MgHg | meta-GGA SCAN | PBEsol geometry

Values from the calculation:
crystal system	cubic
DFT formation energy	-151	meV per atom
space group	No. 216

Cell and atoms, written as CIF:
```
data_Li4MgHg
_cell_length_a 5.254
_cell_length_b 5.254
_cell_length_c 5.254
_cell_angle_alpha 60.00
_cell_angle_beta 60.00
_cell_angle_gamma 60.00
_space_group_name_H-M_alt 'P 1'
_space_group_IT_number 1
loop_
_space_group_symop_operation_xyz
'x,y,z'
loop_
_atom_site_label
_atom_site_type_symbol
_atom_site_fract_x
_atom_site_fract_y
_atom_site_fract_z
_atom_site_occupancy
Li1 Li 0.124 0.124 0.124 1
Li2 Li 0.124 0.124 0.627 1
Li3 Li 0.124 0.627 0.124 1
Li4 Li 0.627 0.124 0.124 1
Mg1 Mg 0.500 0.500 0.500 1
Hg1 Hg 0.750 0.750 0.750 1
```

LaMgAs2 | meta-GGA SCAN | PBEsol geometry

Values from the calculation:
crystal system	tetragonal
DFT formation energy	-791	meV per atom
space group	No. 119

Cell and atoms, written as CIF:
```
data_LaMgAs2
_cell_length_a 4.168
_cell_length_b 4.168
_cell_length_c 10.386
_cell_angle_alpha 90.00
_cell_angle_beta 90.00
_cell_angle_gamma 90.00
_space_group_name_H-M_alt 'P 1'
_space_group_IT_number 1
loop_
_space_group_symop_operation_xyz
'x,y,z'
loop_
_atom_site_label
_atom_site_type_symbol
_atom_site_fract_x
_atom_site_fract_y
_atom_site_fract_z
_atom_site_occupancy
La1 La 0.000 0.000 0.000 1
La2 La 0.500 0.500 0.500 1
Mg1 Mg 0.000 0.500 0.250 1
Mg2 Mg 0.500 0.000 0.750 1
As1 As 0.000 0.000 0.500 1
As2 As 0.000 0.500 0.750 1
As3 As 0.500 0.000 0.250 1
As4 As 0.500 0.500 0.000 1
```

Ta2FeRh | meta-GGA SCAN | PBEsol geometry

Values from the calculation:
crystal system	monoclinic
DFT formation energy	-193	meV per atom
space group	No. 10

Cell and atoms, written as CIF:
```
data_Ta2FeRh
_cell_length_a 2.865
_cell_length_b 3.557
_cell_length_c 5.753
_cell_angle_alpha 90.00
_cell_angle_beta 93.90
_cell_angle_gamma 90.00
_space_group_name_H-M_alt 'P 1'
_space_group_IT_number 1
loop_
_space_group_symop_operation_xyz
'x,y,z'
loop_
_atom_site_label
_atom_site_type_symbol
_atom_site_fract_x
_atom_site_fract_y
_atom_site_fract_z
_atom_site_occupancy
Ta1 Ta 0.039 0.000 0.262 1
Ta2 Ta 0.961 0.000 0.738 1
Fe1 Fe 0.500 0.500 0.500 1
Rh1 Rh 0.500 0.500 0.000 1
```

LaFeCu | meta-GGA SCAN | PBEsol geometry

Values from the calculation:
crystal system	hexagonal
DFT formation energy	108	meV per atom
space group	No. 187

Cell and atoms, written as CIF:
```
data_LaFeCu
_cell_length_a 4.129
_cell_length_b 4.129
_cell_length_c 3.985
_cell_angle_alpha 90.00
_cell_angle_beta 90.00
_cell_angle_gamma 120.00
_space_group_name_H-M_alt 'P 1'
_space_group_IT_number 1
loop_
_space_group_symop_operation_xyz
'x,y,z'
loop_
_atom_site_label
_atom_site_type_symbol
_atom_site_fract_x
_atom_site_fract_y
_atom_site_fract_z
_atom_site_occupancy
La1 La 0.000 0.000 0.000 1
Fe1 Fe 0.333 0.667 0.500 1
Cu1 Cu 0.667 0.333 0.500 1
```